Entry 1:
The following is a DFT calculation (GGA-PBE) of a relaxed structure of La6Cd5Pd.

Cell lengths 9.502, 9.502, 5.483 Å; angles 106.66, 106.66, 48.58 degrees
Sites, in units of the cell vectors:
1 La 0.078 0.608 0.344
2 La 0.229 0.771 0.000
3 La 0.392 0.922 0.656
4 La 0.608 0.078 0.344
5 La 0.771 0.229 0.000
6 La 0.922 0.392 0.656
7 Cd 0.185 0.185 0.184
8 Cd 0.332 0.332 0.833
9 Cd 0.500 0.500 0.500
10 Cd 0.668 0.668 0.167
11 Cd 0.815 0.815 0.816
12 Pd 0.000 0.000 0.500

energy of formation from the pure elements	-4.74	eV per formula unit

Entry 2:
The following is a DFT calculation (GGA-PBE) of a relaxed structure of Be2In2Se.

Cell lengths 8.093, 8.093, 8.093 Å; angles 155.22, 155.22, 35.34 degrees
Sites, in units of the cell vectors:
1 Be 0.250 0.750 0.500
2 Be 0.750 0.250 0.500
3 In 0.114 0.114 0.000
4 In 0.886 0.886 0.000
5 Se 0.500 0.500 0.000

formation energy without anion corrections	1.9	eV per formula unit